1.
The following is a DFT calculation (PBE) of CeHgB2O6 after structural relaxation.

Space group: No. 15
Crystal system: monoclinic
Formation energy without anion corrections: -2258.9 meV per atom

a b c (Å): 6.609 6.609 7.050
angles (deg): 106.22 106.22 99.28
Sites, in units of the cell vectors:
Ce 0.081 0.919 0.750
Ce 0.919 0.081 0.250
Hg 0.409 0.591 0.250
Hg 0.591 0.409 0.750
B 0.101 0.402 0.777
B 0.402 0.101 0.277
B 0.598 0.899 0.723
B 0.899 0.598 0.223
O 0.003 0.203 0.614
O 0.051 0.590 0.762
O 0.203 0.003 0.114
O 0.250 0.378 0.947
O 0.378 0.250 0.447
O 0.410 0.949 0.738
O 0.590 0.051 0.262
O 0.622 0.750 0.553
O 0.750 0.622 0.053
O 0.797 0.997 0.886
O 0.949 0.410 0.238
O 0.997 0.797 0.386

2.
The following is a DFT calculation (PBE) of Ce2HoB9 after structural relaxation.

Space group: No. 166
Crystal system: trigonal
ΔH_f (0 K): -169 meV per atom

a b c (Å): 9.669 9.669 9.669
angles (deg): 26.48 26.48 26.48
Sites, in units of the cell vectors:
Ce 0.118 0.118 0.118
Ce 0.882 0.882 0.882
Ho 0.000 0.000 0.000
B 0.028 0.394 0.394
B 0.394 0.028 0.394
B 0.394 0.394 0.028
B 0.405 0.405 0.405
B 0.500 0.500 0.500
B 0.595 0.595 0.595
B 0.606 0.606 0.972
B 0.606 0.972 0.606
B 0.972 0.606 0.606

| no. | total moment (Bohr magnetons per cell) |
| --- | --- |
| 1 | 0.0 |
| 2 | 0.0 |